## NaIn2Ga2 (GGA-PBE)

Data for a relaxed structure of NaIn2Ga2.

The density of states at the Fermi level comes out at 2.8 states/eV/cell. Its total DFT energy (no corrections) is -26.53 eV for the cell shown. As for the crystal system: tetragonal. The formation energy is -0.083 eV per atom.

It has space group I4/mmm (No. 139), with a = 4.6178 Å, b = 4.6178 Å, c = 11.6934 Å, α = 90.00°, β = 90.00° and γ = 90.00°. The inequivalent atoms are Na at (0.0000, 0.0000, 0.0000), In at (0.0000, 0.5000, 0.2500) and Ga at (0.0000, 0.0000, 0.3942).